Material: FeHg2Br
Method: DFT, PBE-GGA
State: relaxed

a = 5.362 Å, b = 5.362 Å, c = 6.700 Å
α = 110.01°, β = 110.01°, γ = 36.04°
Atoms (fractional coordinates):
Fe1 0.000 0.000 0.000
Hg1 0.253 0.253 0.916
Hg2 0.463 0.463 0.655
Br1 0.608 0.608 0.290

## Properties
- ρ (Mg/m³) = 8.432
- total magnetization (μB/f.u.) = 3.09
- space group = Cm
- uncorrected formation energy (eV/atom) = 0.13
- E_tot (eV per formula unit) = -10.2
- Fermi-level density of states (states/eV/f.u.) = 1.88